*i*
Compound: KReOs3
Source: the Alexandria database
Functional: PBE
Structure: optimized geometry

POSCAR file:
```
KReOs3
1.0
4.445 0.000 0.000
0.000 4.445 0.000
0.000 0.000 4.445
K Re Os
1 1 3
direct
0.000 0.000 0.000 K
0.500 0.500 0.500 Re
0.000 0.000 0.500 Os
0.000 0.500 0.000 Os
0.500 0.000 0.000 Os
```

Computed properties:
**Spin magnetization**: 0.00 μB per cell

*ii*
Compound: KReOs3
Source: the Alexandria database
Functional: PBE
Structure: optimized geometry

POSCAR file:
```
KReOs3
1.0
4.811 0.000 0.000
0.000 4.811 0.000
0.000 0.000 4.811
K Re Os
1 1 3
direct
0.000 0.000 0.000 K
0.500 0.500 0.500 Re
0.000 0.500 0.500 Os
0.500 0.000 0.500 Os
0.500 0.500 0.000 Os
```

Computed properties:
**Spin magnetization**: 0.56 μB per cell

Which one sits at the bottom of the stability order? *i* does.

*i*
Compound: KOsRh
Source: the Alexandria database
Functional: PBE
Structure: optimized geometry

POSCAR file:
```
KOsRh
1.0
4.964 0.000 0.000
-2.482 4.299 0.000
0.000 0.000 5.222
K Os Rh
2 2 2
direct
0.000 0.000 0.000 K
0.000 0.000 0.500 K
0.333 0.667 0.250 Os
0.667 0.333 0.750 Os
0.333 0.667 0.750 Rh
0.667 0.333 0.250 Rh
```

Computed properties:
**Spin magnetization**: 2.39 μB per cell

*ii*
Compound: KOsRh
Source: the Alexandria database
Functional: PBE
Structure: optimized geometry

POSCAR file:
```
KOsRh
1.0
4.535 0.000 0.000
0.000 4.225 0.000
-0.496 0.000 8.012
K Os Rh
2 2 2
direct
0.000 0.000 0.000 K
0.473 0.500 0.708 K
0.431 0.000 0.358 Os
0.558 0.500 0.226 Os
0.048 0.500 0.344 Rh
0.914 0.000 0.503 Rh
```

Computed properties:
**Spin magnetization**: 0.00 μB per cell

Which one sits at the bottom of the stability order? *i* does.

*i*
Compound: KOsRh
Source: the Alexandria database
Functional: PBE
Structure: optimized geometry

POSCAR file:
```
KOsRh
1.0
2.408 -6.086 0.000
2.408 6.086 0.000
-1.629 0.000 4.518
K Os Rh
2 2 2
direct
0.250 0.750 0.750 K
0.750 0.250 0.250 K
0.032 0.968 0.250 Os
0.968 0.032 0.750 Os
0.465 0.535 0.250 Rh
0.535 0.465 0.750 Rh
```

Computed properties:
**Spin magnetization**: 0.00 μB per cell

*ii*
Compound: KOsRh
Source: the Alexandria database
Functional: PBE
Structure: optimized geometry

POSCAR file:
```
KOsRh
1.0
4.415 0.000 0.000
0.000 5.064 0.000
0.005 2.442 6.093
K Os Rh
2 2 2
direct
0.000 0.000 0.000 K
0.500 0.466 0.993 K
0.002 0.825 0.546 Os
0.502 0.092 0.545 Os
0.002 0.371 0.444 Rh
0.502 0.644 0.444 Rh
```

Computed properties:
**Spin magnetization**: 0.00 μB per cell

Which one sits at the bottom of the stability order? *i* does.